# CaAl2Se

CaAl2Se at its PBEsol-relaxed geometry (SCAN, the Alexandria database).

## Properties
Uncorrected formation energy = -0.501 eV per atom
Space group = P2/m (10)

Lattice parameters (Å, degrees): 3.7233 4.2684 5.8264 106.43 90.00 90.00
Sites, in units of the cell vectors:
Ca (0.5000, 0.0000, 0.5000)
Al (0.0000, 0.0000, 0.0000)
Al (0.5000, 0.5000, 0.0000)
Se (0.0000, 0.5000, 0.5000)

---

# CaAl2Se

CaAl2Se at its PBEsol-relaxed geometry (SCAN, the Alexandria database).

## Properties
Uncorrected formation energy = -0.553 eV per atom
Space group = Fmmm (69)

Lattice parameters (Å, degrees): 4.0061 4.0061 6.2464 108.57 108.57 90.40
Sites, in units of the cell vectors:
Ca (0.0000, 0.0000, 0.0000)
Al (0.5000, 0.0000, 0.5000)
Al (0.0000, 0.5000, 0.5000)
Se (0.5000, 0.5000, 0.0000)

---

# CaAl2Si

CaAl2Si at its PBEsol-relaxed geometry (SCAN, the Alexandria database).

## Properties
Uncorrected formation energy = 0.002 eV per atom
Space group = P2/m (10)

Lattice parameters (Å, degrees): 3.0515 4.7201 5.3904 90.00 90.23 90.00
Sites, in units of the cell vectors:
Ca (0.5000, 0.5000, 0.0000)
Si (0.0000, 0.5000, 0.5000)
Al (0.9958, 0.0000, 0.7454)
Al (0.0042, 0.0000, 0.2546)

---

# CaAlSi

CaAlSi at its PBEsol-relaxed geometry (SCAN, the Alexandria database).

## Properties
Uncorrected formation energy = -0.420 eV per atom
Space group = P-6m2 (187)

Lattice parameters (Å, degrees): 4.1826 4.1826 4.2936 90.00 90.00 120.00
Sites, in units of the cell vectors:
Ca (0.3333, 0.6667, 0.6667)
Si (0.6667, 0.3333, 0.1663)
Al (0.0000, 0.0000, 0.1669)

---

# CaAl2Si

CaAl2Si at its PBEsol-relaxed geometry (SCAN, the Alexandria database).

## Properties
Uncorrected formation energy = -0.108 eV per atom
Space group = Pmm2 (25)

Lattice parameters (Å, degrees): 3.3666 3.5714 6.5562 90.00 90.00 90.00
Sites, in units of the cell vectors:
Ca (0.0000, 0.0000, 0.5112)
Si (0.5000, 0.5000, 0.8110)
Al (0.0000, 0.0000, 0.9833)
Al (0.5000, 0.5000, 0.1945)

---

# CaAl2Si

CaAl2Si at its PBEsol-relaxed geometry (SCAN, the Alexandria database).

## Properties
Uncorrected formation energy = -0.138 eV per atom
Space group = Cm (8)

Lattice parameters (Å, degrees): 3.8953 4.5545 5.5588 107.92 90.00 115.32
Sites, in units of the cell vectors:
Ca (0.5084, 0.0168, 0.5074)
Si (0.2668, 0.5336, 0.8550)
Al (0.9914, 0.9827, 0.9822)
Al (0.7335, 0.4669, 0.1554)

---

# CaAlSi2

CaAlSi2 at its PBEsol-relaxed geometry (SCAN, the Alexandria database).

## Properties
Uncorrected formation energy = -0.030 eV per atom
Space group = Cm (8)

Lattice parameters (Å, degrees): 3.6968 4.4943 5.5435 105.84 90.00 114.28
Sites, in units of the cell vectors:
Ca (0.7440, 0.4880, 0.2400)
Si (0.9753, 0.9507, 0.9028)
Si (0.2569, 0.5138, 0.7595)
Al (0.5237, 0.0475, 0.5977)

---

# CaAlSi

CaAlSi at its PBEsol-relaxed geometry (SCAN, the Alexandria database).

## Properties
Uncorrected formation energy = -0.422 eV per atom
Space group = P6_3/mmc (194)

Lattice parameters (Å, degrees): 4.1963 4.1963 16.7837 90.00 90.00 120.00
Sites, in units of the cell vectors:
Ca (0.0000, 0.0000, 0.0000)
Ca (0.0000, 0.0000, 0.5000)
Ca (0.0000, 0.0000, 0.2500)
Ca (0.0000, 0.0000, 0.7500)
Si (0.3333, 0.6667, 0.6157)
Si (0.6667, 0.3333, 0.1157)
Si (0.6667, 0.3333, 0.3843)
Si (0.3333, 0.6667, 0.8843)
Al (0.3333, 0.6667, 0.1429)
Al (0.6667, 0.3333, 0.6429)
Al (0.6667, 0.3333, 0.8571)
Al (0.3333, 0.6667, 0.3571)

---

# CaAlSi2

CaAlSi2 at its PBEsol-relaxed geometry (SCAN, the Alexandria database).

## Properties
Uncorrected formation energy = 0.097 eV per atom
Space group = I4/mmm (139)

Lattice parameters (Å, degrees): 4.0588 4.0588 5.1864 113.03 113.03 90.00
Sites, in units of the cell vectors:
Ca (0.0000, 0.0000, 0.0000)
Si (0.7500, 0.2500, 0.5000)
Si (0.2500, 0.7500, 0.5000)
Al (0.5000, 0.5000, 0.0000)

---

# CaAl2Sn2

CaAl2Sn2 at its PBEsol-relaxed geometry (SCAN, the Alexandria database).

## Properties
Space group = P-3m1 (164)
ΔE_f = -0.2658 eV per atom

Lattice parameters (Å, degrees): 4.4578 4.4578 7.4133 90.00 90.00 120.00
Sites, in units of the cell vectors:
Ca (0.0000, 0.0000, 0.0000)
Sn (0.3333, 0.6667, 0.2497)
Sn (0.6667, 0.3333, 0.7503)
Al (0.6667, 0.3333, 0.3711)
Al (0.3333, 0.6667, 0.6289)

---

# SrCaAl2

SrCaAl2 at its PBEsol-relaxed geometry (SCAN, the Alexandria database).

## Properties
Space group = Amm2 (38)
ΔE_f = -0.2040 eV per atom

Lattice parameters (Å, degrees): 4.0115 4.5813 6.5525 90.00 107.82 90.00
Sites, in units of the cell vectors:
Sr (0.4045, 0.5000, 0.8091)
Ca (0.1012, 0.0000, 0.2025)
Al (0.8042, 0.0000, 0.6083)
Al (0.6844, 0.5000, 0.3689)

---

# Sr2CaAl

Sr2CaAl at its PBEsol-relaxed geometry (SCAN, the Alexandria database).

## Properties
Space group = P4mm (99)
ΔE_f = -0.0536 eV per atom

Lattice parameters (Å, degrees): 3.8912 3.8912 9.9641 90.00 90.00 90.00
Sites, in units of the cell vectors:
Sr (0.0000, 0.0000, 0.9840)
Sr (0.5000, 0.5000, 0.3167)
Ca (0.5000, 0.5000, 0.6828)
Al (0.0000, 0.0000, 0.5165)